(1)
! Tb3Ge4Pd GGA-PBE relaxed; values from VASP
! DFT total energy (eV/atom): -5.399
! ρ (g/cm³): 7.76
! Spin magnetization (μB/cell): 0.000
&SYSTEM
  ibrav = 0, nat = 8, ntyp = 3
/
ATOMIC_SPECIES
Tb 158.93 Tb.upf
Ge 72.64 Ge.upf
Pd 106.42 Pd.upf
ATOMIC_POSITIONS angstrom
Tb 0.0000 0.0000 0.0000
Tb 2.1498 0.0000 4.5339
Tb 0.0000 2.9508 2.8360
Ge 2.1498 1.2466 -1.8252
Ge 2.1498 1.2466 1.8252
Ge 0.0000 1.7042 5.5446
Ge 0.0000 1.7042 9.1951
Pd 0.0000 0.0000 7.3699
CELL_PARAMETERS angstrom
-2.1498 2.9508 7.3699
2.1498 -2.9508 7.3699
2.1498 2.9508 -7.3699

(2)
! Tb3Ge3Pd2 GGA-PBE relaxed; values from VASP
! Energy above the most stable polymorph in this dataset (kJ/mol of atoms): 0.0
! DFT total energy (eV/atom): -5.719
! ρ (g/cm³): 9.06
! Spin magnetization (μB/cell): 0.000
&SYSTEM
  ibrav = 0, nat = 16, ntyp = 3
/
ATOMIC_SPECIES
Tb 158.93 Tb.upf
Ge 72.64 Ge.upf
Pd 106.42 Pd.upf
ATOMIC_POSITIONS angstrom
Tb 2.1730 4.3509 8.8130
Tb 2.1730 4.3509 12.8845
Tb 2.1730 1.4519 10.8488
Tb 2.1730 -1.4519 3.6163
Tb 2.1730 -4.3509 1.5805
Tb 2.1730 -4.3509 5.6520
Ge 2.1730 1.6295 3.6163
Ge 2.1730 1.1711 7.7956
Ge 2.1730 1.1711 13.9019
Ge 2.1730 -1.1711 0.5631
Ge 2.1730 -1.1711 6.6694
Ge 2.1730 -1.6295 10.8488
Pd 2.1730 3.1479 1.4517
Pd 2.1730 3.1479 5.7809
Pd 2.1730 -3.1479 8.6842
Pd 2.1730 -3.1479 13.0134
CELL_PARAMETERS angstrom
2.1730 -5.2915 0.0000
2.1730 5.2915 0.0000
0.0000 0.0000 14.4650

(3)
! TbGe2Pd6 GGA-PBE relaxed; values from VASP
! DFT total energy (eV/atom): -5.514
! ρ (g/cm³): 8.95
! Spin magnetization (μB/cell): 0.000
&SYSTEM
  ibrav = 0, nat = 9, ntyp = 3
/
ATOMIC_SPECIES
Tb 158.93 Tb.upf
Ge 72.64 Ge.upf
Pd 106.42 Pd.upf
ATOMIC_POSITIONS angstrom
Tb 0.0000 0.0000 0.0000
Ge 0.0000 3.1973 3.2916
Ge 2.7690 1.5987 3.2916
Pd -1.3845 2.3980 1.3695
Pd -1.3845 2.3980 5.2137
Pd 2.7690 0.0000 1.3695
Pd 2.7690 0.0000 5.2137
Pd 1.3845 2.3980 1.3695
Pd 1.3845 2.3980 5.2137
CELL_PARAMETERS angstrom
5.5379 0.0000 0.0000
-2.7690 4.7960 0.0000
0.0000 0.0000 6.5833

(4)
! TbGe2Pd GGA-PBE relaxed; values from VASP
! DFT total energy (eV/atom): -5.350
! ρ (g/cm³): 8.96
! Spin magnetization (μB/cell): 0.000
&SYSTEM
  ibrav = 0, nat = 4, ntyp = 3
/
ATOMIC_SPECIES
Tb 158.93 Tb.upf
Ge 72.64 Ge.upf
Pd 106.42 Pd.upf
ATOMIC_POSITIONS angstrom
Tb 0.0000 0.0000 0.0000
Ge 0.0000 2.1296 2.0974
Ge 2.1296 0.0000 2.0974
Pd 2.1296 2.1296 0.0000
CELL_PARAMETERS angstrom
4.2593 0.0000 0.0000
0.0000 4.2593 0.0000
0.0000 0.0000 4.1948

(5)
! Tb2Ge6Pd GGA-PBE relaxed; values from VASP
! DFT total energy (eV/atom): -5.199
! ρ (g/cm³): 7.78
! Spin magnetization (μB/cell): 0.000
&SYSTEM
  ibrav = 0, nat = 9, ntyp = 3
/
ATOMIC_SPECIES
Tb 158.93 Tb.upf
Ge 72.64 Ge.upf
Pd 106.42 Pd.upf
ATOMIC_POSITIONS angstrom
Tb 0.0000 0.0000 0.0000
Tb 0.0000 0.0000 7.4900
Ge 0.0000 0.0000 13.7407
Ge 0.0000 0.0000 16.2534
Ge 2.0577 0.0000 2.7642
Ge 2.0577 0.0000 5.2823
Ge 2.0577 0.0000 9.8751
Ge 2.0577 0.0000 19.3152
Pd 2.0577 0.0000 12.3101
CELL_PARAMETERS angstrom
4.1154 0.0000 0.0000
0.0000 2.0248 11.0109
0.0000 -2.0248 11.0109

(6)
! Tb8Ge3Te4Pd GGA-PBE relaxed; values from VASP
! DFT total energy (eV/atom): -5.436
! Formation energy without anion corrections (eV per atom): -1.15
! ρ (g/cm³): 7.86
! Spin magnetization (μB/cell): 0.000
&SYSTEM
  ibrav = 0, nat = 16, ntyp = 4
/
ATOMIC_SPECIES
Tb 158.93 Tb.upf
Ge 72.64 Ge.upf
Te 127.60 Te.upf
Pd 106.42 Pd.upf
ATOMIC_POSITIONS angstrom
Tb -2.1452 -1.2385 12.2503
Tb 0.0000 0.0000 5.1432
Tb 0.0000 -2.4771 9.1053
Tb -2.1452 1.2385 9.1053
Tb 2.1452 -1.2385 12.2503
Tb 0.0000 2.4771 12.2503
Tb 0.0000 0.0000 16.2124
Tb 2.1452 1.2385 9.1053
Ge -4.2477 0.0000 10.6778
Ge -2.1239 1.2262 3.5593
Ge 2.1239 1.2262 3.5593
Te 0.0000 0.0000 0.0000
Te -2.1239 -1.2262 7.1185
Te -2.1239 1.2262 14.2371
Te 0.0000 2.4524 7.1185
Pd 0.0000 0.0000 10.6778
CELL_PARAMETERS angstrom
4.2477 2.4524 7.1185
-4.2477 2.4524 7.1185
0.0000 -4.9048 7.1185

(7)
! TbThGePd GGA-PBE relaxed; values from VASP
! DFT total energy (eV/atom): -6.108
! ρ (g/cm³): 9.98
! Spin magnetization (μB/cell): 0.830
&SYSTEM
  ibrav = 0, nat = 4, ntyp = 4
/
ATOMIC_SPECIES
Tb 158.93 Tb.upf
Th 232.04 Th.upf
Ge 72.64 Ge.upf
Pd 106.42 Pd.upf
ATOMIC_POSITIONS angstrom
Tb 0.0000 0.0000 0.0000
Th 3.6194 3.6194 3.6194
Ge 5.4291 5.4291 5.4291
Pd 1.8097 1.8097 1.8097
CELL_PARAMETERS angstrom
0.0000 3.6194 3.6194
3.6194 0.0000 3.6194
3.6194 3.6194 0.0000

(8)
! TbTmGePd GGA-PBE relaxed; values from VASP
! Energy above the most stable polymorph in this dataset (kJ/mol of atoms): 7.6
! DFT total energy (eV/atom): -5.541
! ρ (g/cm³): 9.58
! Spin magnetization (μB/cell): 0.000
&SYSTEM
  ibrav = 0, nat = 4, ntyp = 4
/
ATOMIC_SPECIES
Tb 158.93 Tb.upf
Tm 168.93 Tm.upf
Ge 72.64 Ge.upf
Pd 106.42 Pd.upf
ATOMIC_POSITIONS angstrom
Tb 0.0000 0.0000 0.0000
Tm 3.5286 3.5286 3.5286
Ge 5.2929 5.2929 5.2929
Pd 1.7643 1.7643 1.7643
CELL_PARAMETERS angstrom
0.0000 3.5286 3.5286
3.5286 0.0000 3.5286
3.5286 3.5286 0.0000

(9)
! TbTmGePd GGA-PBE relaxed; values from VASP
! Energy above the most stable polymorph in this dataset (kJ/mol of atoms): 0.0
! DFT total energy (eV/atom): -5.620
! ρ (g/cm³): 9.31
! Spin magnetization (μB/cell): 0.000
&SYSTEM
  ibrav = 0, nat = 4, ntyp = 4
/
ATOMIC_SPECIES
Tb 158.93 Tb.upf
Tm 168.93 Tm.upf
Ge 72.64 Ge.upf
Pd 106.42 Pd.upf
ATOMIC_POSITIONS angstrom
Tb 0.0000 0.0000 0.0000
Tm 2.1501 0.0000 7.8223
Ge 0.0000 0.0000 2.9908
Pd 2.1501 0.0000 4.7589
CELL_PARAMETERS angstrom
4.3003 0.0000 0.0000
0.0000 1.9392 5.4230
0.0000 -1.9392 5.4230

(10)
! TbYGe2Pd2 GGA-PBE relaxed; values from VASP
! DFT total energy (eV/atom): -6.052
! ρ (g/cm³): 8.33
! Spin magnetization (μB/cell): 0.000
&SYSTEM
  ibrav = 0, nat = 6, ntyp = 4
/
ATOMIC_SPECIES
Tb 158.93 Tb.upf
Y 88.91 Y.upf
Ge 72.64 Ge.upf
Pd 106.42 Pd.upf
ATOMIC_POSITIONS angstrom
Tb 0.0000 0.0000 0.0000
Y 0.0000 0.0000 3.5524
Ge 0.0000 2.5576 5.3297
Ge 2.2150 1.2788 1.7752
Pd 0.0000 2.5576 1.7891
Pd 2.2150 1.2788 5.3158
CELL_PARAMETERS angstrom
4.4299 0.0000 0.0000
-2.2149 3.8364 0.0000
0.0000 0.0000 7.1048

(11)
! TbYGePd GGA-PBE relaxed; values from VASP
! Energy above the most stable polymorph in this dataset (kJ/mol of atoms): 0.0
! DFT total energy (eV/atom): -6.121
! ρ (g/cm³): 7.65
! Spin magnetization (μB/cell): 0.000
&SYSTEM
  ibrav = 0, nat = 4, ntyp = 4
/
ATOMIC_SPECIES
Tb 158.93 Tb.upf
Y 88.91 Y.upf
Ge 72.64 Ge.upf
Pd 106.42 Pd.upf
ATOMIC_POSITIONS angstrom
Tb 0.0000 0.0000 0.0000
Y 2.1622 0.0000 7.8619
Ge 2.1622 0.0000 4.8253
Pd 0.0000 0.0000 3.0705
CELL_PARAMETERS angstrom
4.3244 0.0000 0.0000
0.0000 1.9678 5.4436
0.0000 -1.9678 5.4436

(12)
! TbYGePd GGA-PBE relaxed; values from VASP
! Energy above the most stable polymorph in this dataset (kJ/mol of atoms): 8.1
! DFT total energy (eV/atom): -6.037
! ρ (g/cm³): 7.88
! Spin magnetization (μB/cell): 0.000
&SYSTEM
  ibrav = 0, nat = 4, ntyp = 4
/
ATOMIC_SPECIES
Tb 158.93 Tb.upf
Y 88.91 Y.upf
Ge 72.64 Ge.upf
Pd 106.42 Pd.upf
ATOMIC_POSITIONS angstrom
Tb 0.0000 0.0000 0.0000
Y 3.5565 3.5565 3.5565
Ge 5.3347 5.3347 5.3347
Pd 1.7782 1.7782 1.7782
CELL_PARAMETERS angstrom
0.0000 3.5565 3.5565
3.5565 0.0000 3.5565
3.5565 3.5565 0.0000

(13)
! TbZnGe2Pd GGA-PBE relaxed; values from VASP
! DFT total energy (eV/atom): -4.712
! ρ (g/cm³): 8.59
! Spin magnetization (μB/cell): 0.000
&SYSTEM
  ibrav = 0, nat = 5, ntyp = 4
/
ATOMIC_SPECIES
Tb 158.93 Tb.upf
Zn 65.41 Zn.upf
Ge 72.64 Ge.upf
Pd 106.42 Pd.upf
ATOMIC_POSITIONS angstrom
Tb 0.0000 0.0000 0.0000
Zn 2.0632 0.0000 2.7012
Ge 0.0000 0.0000 4.1764
Ge 0.0000 0.0000 6.6285
Pd 0.0000 2.0632 2.7012
CELL_PARAMETERS angstrom
-2.0632 2.0632 5.4025
2.0632 -2.0632 5.4025
2.0632 2.0632 -5.4025

(14)
! TbZnGePd GGA-PBE relaxed; values from VASP
! DFT total energy (eV/atom): -4.464
! ρ (g/cm³): 9.15
! Spin magnetization (μB/cell): 0.000
&SYSTEM
  ibrav = 0, nat = 4, ntyp = 4
/
ATOMIC_SPECIES
Tb 158.93 Tb.upf
Zn 65.41 Zn.upf
Ge 72.64 Ge.upf
Pd 106.42 Pd.upf
ATOMIC_POSITIONS angstrom
Tb 0.0000 0.0000 0.0000
Zn 4.9803 4.9803 4.9803
Ge 1.6601 1.6601 1.6601
Pd 3.3202 3.3202 3.3202
CELL_PARAMETERS angstrom
0.0000 3.3202 3.3202
3.3202 0.0000 3.3202
3.3202 3.3202 0.0000

(15)
! Tb2ZnGePd6 GGA-PBE relaxed; values from VASP
! DFT total energy (eV/atom): -5.293
! ρ (g/cm³): 9.83
! Spin magnetization (μB/cell): 0.000
&SYSTEM
  ibrav = 0, nat = 10, ntyp = 4
/
ATOMIC_SPECIES
Tb 158.93 Tb.upf
Zn 65.41 Zn.upf
Ge 72.64 Ge.upf
Pd 106.42 Pd.upf
ATOMIC_POSITIONS angstrom
Tb 2.7329 1.3116 1.4791
Tb 8.1797 3.8422 4.3618
Zn 5.4563 2.5769 2.9205
Ge 0.0000 0.0000 0.0000
Pd 4.0993 4.5089 1.7714
Pd 5.4477 2.7312 5.3960
Pd 4.0839 0.6514 4.0739
Pd 6.8288 4.5023 1.7670
Pd 5.4650 2.4226 0.4449
Pd 6.8134 0.6449 4.0696
CELL_PARAMETERS angstrom
5.4674 0.0000 0.0000
2.7294 5.7905 0.0000
2.7159 -0.6368 5.8409

(16)
! TcGe2Pd GGA-PBE relaxed; values from VASP
! Energy above the most stable polymorph in this dataset (kJ/mol of atoms): 0.2
! DFT total energy (eV/atom): -6.379
! ρ (g/cm³): 9.28
! Spin magnetization (μB/cell): 0.000
&SYSTEM
  ibrav = 0, nat = 4, ntyp = 3
/
ATOMIC_SPECIES
Tc 98.00 Tc.upf
Ge 72.64 Ge.upf
Pd 106.42 Pd.upf
ATOMIC_POSITIONS angstrom
Tc 0.0000 0.0000 0.0000
Ge 0.0000 0.0000 9.5273
Ge 0.0000 0.0000 13.5309
Pd 0.0000 0.0000 3.7436
CELL_PARAMETERS angstrom
1.5317 0.8843 7.6973
-1.5317 0.8843 7.6973
0.0000 -1.7686 7.6973

(17)
! Tc2Ge2Pd GGA-PBE relaxed; values from VASP
! Energy above the most stable polymorph in this dataset (kJ/mol of atoms): 0.0
! DFT total energy (eV/atom): -7.054
! ρ (g/cm³): 9.83
! Spin magnetization (μB/cell): 0.000
&SYSTEM
  ibrav = 0, nat = 10, ntyp = 3
/
ATOMIC_SPECIES
Tc 98.00 Tc.upf
Ge 72.64 Ge.upf
Pd 106.42 Pd.upf
ATOMIC_POSITIONS angstrom
Tc 1.0452 2.4894 0.0000
Tc 2.4894 6.0240 0.0000
Tc 4.5798 1.0452 0.0000
Tc 6.0240 4.5798 0.0000
Ge 1.0538 4.5885 1.5137
Ge 2.4808 1.0538 1.5137
Ge 4.5885 6.0154 1.5137
Ge 6.0154 2.4808 1.5137
Pd 0.0000 0.0000 1.5137
Pd 3.5346 3.5346 1.5137
CELL_PARAMETERS angstrom
7.0692 0.0000 0.0000
0.0000 7.0692 0.0000
0.0000 0.0000 3.0274

(18)
! Tc3Ge6Pd GGA-PBE relaxed; values from VASP
! DFT total energy (eV/atom): -6.446
! ρ (g/cm³): 8.25
! Spin magnetization (μB/cell): 0.000
&SYSTEM
  ibrav = 0, nat = 20, ntyp = 3
/
ATOMIC_SPECIES
Tc 98.00 Tc.upf
Ge 72.64 Ge.upf
Pd 106.42 Pd.upf
ATOMIC_POSITIONS angstrom
Tc 0.0000 0.0000 0.0000
Tc -1.4540 3.2892 4.1235
Tc -0.7971 0.8775 6.0420
Tc 0.6569 2.4117 1.9185
Tc 2.6387 4.1667 6.3284
Tc 4.0927 5.7009 2.2049
Ge -0.7456 0.9397 3.4496
Ge -2.1996 2.3495 7.5731
Ge 0.3486 4.6466 3.1720
Ge -1.1053 5.2210 7.2955
Ge 1.9308 0.1695 1.5879
Ge 0.4769 3.1197 5.7113
Ge 2.8188 3.4587 2.5356
Ge 1.3648 6.4089 6.6591
Ge 4.4009 1.3574 0.9515
Ge 2.9470 1.9318 5.0749
Ge 5.4952 4.2290 0.6739
Ge 4.0412 5.6387 4.7973
Pd 1.6478 0.0000 4.1235
Pd 3.1018 3.2892 0.0000
CELL_PARAMETERS angstrom
6.2035 0.0000 0.0000
0.0000 6.5784 0.0000
-2.9079 0.0000 8.2469

(19)
! TcGe4Pd GGA-PBE relaxed; values from VASP
! DFT total energy (eV/atom): -5.719
! ρ (g/cm³): 7.10
! Spin magnetization (μB/cell): 0.000
&SYSTEM
  ibrav = 0, nat = 12, ntyp = 3
/
ATOMIC_SPECIES
Tc 98.00 Tc.upf
Ge 72.64 Ge.upf
Pd 106.42 Pd.upf
ATOMIC_POSITIONS angstrom
Tc 0.0000 0.0000 0.0000
Tc -1.4707 3.2644 2.9739
Ge -1.5219 1.3810 4.5042
Ge -0.0512 1.8833 1.5303
Ge -0.0177 4.0454 4.8884
Ge 1.4530 5.7477 1.9146
Ge 1.5646 0.7810 4.0331
Ge 3.0353 2.4833 1.0593
Ge 3.0688 4.6454 4.4174
Ge 4.5395 5.1477 1.4435
Pd 2.9795 0.0000 0.0000
Pd 1.5088 3.2644 2.9739
CELL_PARAMETERS angstrom
5.9590 0.0000 0.0000
0.0000 6.5287 0.0000
-2.9414 0.0000 5.9477

(20)
! TcGe2Pd GGA-PBE relaxed; values from VASP
! Energy above the most stable polymorph in this dataset (kJ/mol of atoms): 57.4
! DFT total energy (eV/atom): -5.786
! ρ (g/cm³): 6.63
! Spin magnetization (μB/cell): 0.000
&SYSTEM
  ibrav = 0, nat = 8, ntyp = 3
/
ATOMIC_SPECIES
Tc 98.00 Tc.upf
Ge 72.64 Ge.upf
Pd 106.42 Pd.upf
ATOMIC_POSITIONS angstrom
Tc 0.0000 0.0000 0.0000
Tc 0.0000 2.8449 2.7073
Ge 4.2674 1.3715 -1.3537
Ge 1.3715 1.4225 1.3537
Ge -1.4225 1.4735 4.0610
Ge 1.4735 1.4225 6.7684
Pd 2.8449 0.0000 2.7073
Pd 0.0000 0.0000 5.4147
CELL_PARAMETERS angstrom
-2.8449 2.8449 5.4147
2.8449 -2.8449 5.4147
2.8449 2.8449 -5.4147

(21)
! TcGe2Pd GGA-PBE relaxed; values from VASP
! Energy above the most stable polymorph in this dataset (kJ/mol of atoms): 12.9
! DFT total energy (eV/atom): -6.248
! ρ (g/cm³): 9.62
! Spin magnetization (μB/cell): 0.698
&SYSTEM
  ibrav = 0, nat = 4, ntyp = 3
/
ATOMIC_SPECIES
Tc 98.00 Tc.upf
Ge 72.64 Ge.upf
Pd 106.42 Pd.upf
ATOMIC_POSITIONS angstrom
Tc 0.0000 0.0000 0.0000
Ge 1.5566 1.5566 1.5566
Ge 4.6699 4.6699 4.6699
Pd 3.1133 3.1133 3.1133
CELL_PARAMETERS angstrom
0.0000 3.1133 3.1133
3.1133 0.0000 3.1133
3.1133 3.1133 0.0000

(22)
! TcGe2Pd GGA-PBE relaxed; values from VASP
! Energy above the most stable polymorph in this dataset (kJ/mol of atoms): 0.0
! DFT total energy (eV/atom): -6.381
! ρ (g/cm³): 9.65
! Spin magnetization (μB/cell): 0.000
&SYSTEM
  ibrav = 0, nat = 4, ntyp = 3
/
ATOMIC_SPECIES
Tc 98.00 Tc.upf
Ge 72.64 Ge.upf
Pd 106.42 Pd.upf
ATOMIC_POSITIONS angstrom
Tc 0.0000 0.0000 0.0000
Ge 1.5762 1.5762 1.4070
Ge 1.5762 1.5762 4.6489
Pd 0.0000 0.0000 3.0279
CELL_PARAMETERS angstrom
3.1523 0.0000 0.0000
0.0000 3.1523 0.0000
0.0000 0.0000 6.0559

(23)
! TcGe2Pd GGA-PBE relaxed; values from VASP
! Energy above the most stable polymorph in this dataset (kJ/mol of atoms): 2.2
! DFT total energy (eV/atom): -6.358
! ρ (g/cm³): 9.73
! Spin magnetization (μB/cell): 0.000
&SYSTEM
  ibrav = 0, nat = 4, ntyp = 3
/
ATOMIC_SPECIES
Tc 98.00 Tc.upf
Ge 72.64 Ge.upf
Pd 106.42 Pd.upf
ATOMIC_POSITIONS angstrom
Tc 0.0000 0.0000 0.0000
Ge 0.0000 2.1801 1.5698
Ge 2.1801 0.0000 1.5698
Pd 2.1801 2.1801 0.0000
CELL_PARAMETERS angstrom
4.3603 0.0000 0.0000
0.0000 4.3603 0.0000
0.0000 0.0000 3.1396

(24)
! ThTcGe2Pd GGA-PBE relaxed; values from VASP
! DFT total energy (eV/atom): -7.063
! ρ (g/cm³): 10.17
! Spin magnetization (μB/cell): 0.000
&SYSTEM
  ibrav = 0, nat = 5, ntyp = 4
/
ATOMIC_SPECIES
Th 232.04 Th.upf
Tc 98.00 Tc.upf
Ge 72.64 Ge.upf
Pd 106.42 Pd.upf
ATOMIC_POSITIONS angstrom
Th 0.0000 0.0000 0.0000
Tc 0.0000 2.1270 2.6236
Ge 0.0000 0.0000 3.9501
Ge 0.0000 0.0000 6.5442
Pd 2.1270 0.0000 2.6236
CELL_PARAMETERS angstrom
-2.1270 2.1270 5.2471
2.1270 -2.1270 5.2471
2.1270 2.1270 -5.2471

(25)
! TiTcGePd GGA-PBE relaxed; values from VASP
! DFT total energy (eV/atom): -7.428
! ρ (g/cm³): 9.06
! Spin magnetization (μB/cell): 0.000
&SYSTEM
  ibrav = 0, nat = 4, ntyp = 4
/
ATOMIC_SPECIES
Ti 47.87 Ti.upf
Tc 98.00 Tc.upf
Ge 72.64 Ge.upf
Pd 106.42 Pd.upf
ATOMIC_POSITIONS angstrom
Ti 0.0000 0.0000 0.0000
Tc 4.6494 4.6494 4.6494
Ge 3.0996 3.0996 3.0996
Pd 1.5498 1.5498 1.5498
CELL_PARAMETERS angstrom
0.0000 3.0996 3.0996
3.0996 0.0000 3.0996
3.0996 3.0996 0.0000

(26)
! ZnTcGePd GGA-PBE relaxed; values from VASP
! DFT total energy (eV/atom): -5.532
! ρ (g/cm³): 9.87
! Spin magnetization (μB/cell): 0.000
&SYSTEM
  ibrav = 0, nat = 4, ntyp = 4
/
ATOMIC_SPECIES
Zn 65.41 Zn.upf
Tc 98.00 Tc.upf
Ge 72.64 Ge.upf
Pd 106.42 Pd.upf
ATOMIC_POSITIONS angstrom
Zn 0.0000 0.0000 0.0000
Tc 1.5330 1.5330 1.5330
Ge 3.0660 3.0660 3.0660
Pd 4.5990 4.5990 4.5990
CELL_PARAMETERS angstrom
0.0000 3.0660 3.0660
3.0660 0.0000 3.0660
3.0660 3.0660 0.0000